Record 1
A plane-wave DFT calculation with PBE was carried out for a relaxed structure of FeCoCu4Sn2.

POSCAR file:
```
FeCoCu4Sn2
1.0
4.298 0.000 0.000
0.000 4.298 0.000
0.000 0.000 6.084
Fe Co Cu Sn
1 1 4 2
direct
0.000 0.000 0.000
0.500 0.500 0.500
0.000 0.500 0.250
0.000 0.500 0.750
0.500 0.000 0.250
0.500 0.000 0.750
0.000 0.000 0.500
0.500 0.500 0.000
```

Calculated values
Calculated volume in Å³ per atom: 14.05
M_tot in μB/f.u.: 3.32
Calculated total energy in eV/cell: -36.64

Record 2
A plane-wave DFT calculation with PBE was carried out for a relaxed structure of FeCoCuSn.

POSCAR file:
```
FeCoCuSn
1.0
0.000 3.017 3.017
3.017 0.000 3.017
3.017 3.017 0.000
Fe Co Cu Sn
1 1 1 1
direct
0.000 0.000 0.000
0.750 0.750 0.750
0.250 0.250 0.250
0.500 0.500 0.500
```

Calculated values
Calculated volume in Å³ per atom: 13.74
M_tot in μB/f.u.: 3.98
Calculated total energy in eV/cell: -22.77

Record 3
A plane-wave DFT calculation with PBE was carried out for a relaxed structure of Ga2CoCu2.

POSCAR file:
```
Ga2CoCu2
1.0
-1.826 1.826 5.456
1.826 -1.826 5.456
1.826 1.826 -5.456
Ga Co Cu
2 1 2
direct
0.250 0.750 0.500
0.750 0.250 0.500
0.000 0.000 0.000
0.397 0.397 0.000
0.603 0.603 0.000
```

Calculated values
Calculated volume in Å³ per atom: 14.55
M_tot in μB/f.u.: 1.52
Calculated total energy in eV/cell: -18.62

Record 4
A plane-wave DFT calculation with PBE was carried out for a relaxed structure of Ga2CoCu.

POSCAR file:
```
Ga2CoCu
1.0
0.000 2.964 2.964
2.964 0.000 2.964
2.964 2.964 0.000
Ga Co Cu
2 1 1
direct
0.000 0.000 0.000
0.250 0.250 0.250
0.750 0.750 0.750
0.500 0.500 0.500
```

Calculated values
Calculated volume in Å³ per atom: 13.02
M_tot in μB/f.u.: 0.00
Calculated total energy in eV/cell: -16.50